Entry 1:
Nd4SbPt2 after structural relaxation. Source: Alexandria via LeMat-Bulk, functional PBE.

Cell: 9.6635 8.3133 8.3018 Å, 71.13 54.49 54.38°
With the nearest neighbours (Å) after each atom.
Sites, in units of the cell vectors:
Nd 0.1445 0.2880 0.2902  3 Pt 2.81-3.03
Nd 0.2227 0.7098 0.7120  3 Pt 2.81-3.03
Nd 0.2880 0.1445 0.7773  3 Pt 2.81-3.03
Nd 0.2902 0.7773 0.1445  3 Pt 2.81-3.03
Nd 0.7098 0.2227 0.8555  3 Pt 2.81-3.03
Nd 0.7120 0.8555 0.2227  3 Pt 2.81-3.03
Nd 0.7773 0.2902 0.2880  3 Pt 2.81-3.03
Nd 0.8555 0.7120 0.7098  3 Pt 2.81-3.03
Sb 0.3750 0.3750 0.3750  4 Nd 3.16
Sb 0.6250 0.6250 0.6250  4 Nd 3.16
Pt 0.0000 0.0000 0.0000  6 Nd 2.81-3.03
Pt 0.0000 0.0000 0.5000  6 Nd 2.81-3.03
Pt 0.0000 0.5000 0.0000  6 Nd 2.81-3.03
Pt 0.5000 0.0000 0.0000  6 Nd 2.81-3.03

**SG**: Fddd (70)
**Formation energy (no corrections)**: -6.066 eV/f.u.
**Density**: 8.20 Mg/m³

***

Entry 2:
PrYPb6 after structural relaxation. Source: Alexandria via LeMat-Bulk, functional PBE.

Cell: 4.9171 4.9171 9.8340 Å, 90.00 90.00 90.00°
With the nearest neighbours (Å) after each atom.
Sites, in units of the cell vectors:
Pr 0.0000 0.0000 0.0000  12 Pb 3.48-3.51
Y 0.0000 0.0000 0.5000  12 Pb 3.45-3.48
Pb 0.0000 0.5000 0.2545  8 Pb 3.45-3.51, 2 Y 3.45, 2 Pr 3.51
Pb 0.0000 0.5000 0.7455  8 Pb 3.45-3.51, 2 Y 3.45, 2 Pr 3.51
Pb 0.5000 0.0000 0.2545  8 Pb 3.45-3.51, 2 Y 3.45, 2 Pr 3.51
Pb 0.5000 0.0000 0.7455  8 Pb 3.45-3.51, 2 Y 3.45, 2 Pr 3.51
Pb 0.5000 0.5000 0.0000  4 Pr 3.48, 8 Pb 3.51
Pb 0.5000 0.5000 0.5000  8 Pb 3.45, 4 Y 3.48

**SG**: P4/mmm (123)
**ΔH_f (0 K)**: -339 meV/atom
**Density**: 10.29 Mg/m³

***

Entry 3:
SrHoMg after structural relaxation. Source: Alexandria via LeMat-Bulk, functional PBE.

Cell: 14.8976 14.8976 14.8976 Å, 165.22 165.22 20.96°
With the nearest neighbours (Å) after each atom.
Sites, in units of the cell vectors:
Sr 0.0690 0.0690 0.0000  4 Mg 3.59, 4 Sr 3.83
Sr 0.9310 0.9310 0.0000  4 Mg 3.59, 4 Sr 3.83
Ho 0.2127 0.2127 0.0000  4 Mg 3.29, 4 Ho 3.48
Ho 0.7873 0.7873 0.0000  4 Mg 3.29, 4 Ho 3.48
Mg 0.3508 0.3508 0.0000  4 Ho 3.29, 4 Sr 3.59
Mg 0.6492 0.6492 0.0000  4 Ho 3.29, 4 Sr 3.59

**SG**: I4/mmm (139)
**ΔH_f (0 K)**: 41 meV/atom
**Density**: 4.27 Mg/m³
**E above lowest polymorph**: 0.00 eV per formula unit

***

Entry 4:
Zn4SiRu after structural relaxation. Source: Alexandria via LeMat-Bulk, functional PBE.

Cell: 4.9295 4.9295 4.9295 Å, 60.00 60.00 60.00°
With the nearest neighbours (Å) after each atom.
Sites, in units of the cell vectors:
Zn 0.1254 0.1254 0.1254  6 Zn 2.46-2.47
Zn 0.1254 0.1254 0.6238  6 Zn 2.46-2.47
Zn 0.1254 0.6238 0.1254  6 Zn 2.46-2.47
Zn 0.6238 0.1254 0.1254  6 Zn 2.46-2.47
Si 0.7500 0.7500 0.7500  12 Zn 2.89, 4 Ru 3.02
Ru 0.5000 0.5000 0.5000  12 Zn 2.89, 4 Si 3.02

**SG**: F-43m (216)
**Formation energy (no corrections)**: 0.947 eV/f.u.
**Density**: 7.66 Mg/m³

***

Entry 5:
Sm2In3Ag2 after structural relaxation. Source: Alexandria via LeMat-Bulk, functional PBE.

Cell: 10.3765 10.3765 7.7447 Å, 90.00 90.00 154.73°
With the nearest neighbours (Å) after each atom.
Sites, in units of the cell vectors:
Sm 0.0492 0.9508 0.7500  9 In 3.35-3.53
Sm 0.1590 0.8410 0.2500  6 In 3.30-3.33, 6 Ag 3.33-3.36
Sm 0.8410 0.1590 0.7500  6 In 3.30-3.33, 6 Ag 3.33-3.36
Sm 0.9508 0.0492 0.2500  9 In 3.35-3.53
In 0.2210 0.7790 0.7500  6 Ag 2.80-2.91
In 0.4359 0.5641 0.5658  1 Ag 2.77, 2 In 2.79-2.85
In 0.4359 0.5641 0.9342  1 Ag 2.77, 2 In 2.79-2.85
In 0.5641 0.4359 0.0658  1 Ag 2.77, 2 In 2.79-2.85
In 0.5641 0.4359 0.4342  1 Ag 2.77, 2 In 2.79-2.85
In 0.7790 0.2210 0.2500  6 Ag 2.80-2.91
Ag 0.3065 0.6935 0.0515  4 In 2.77-2.91, 1 Ag 3.08
Ag 0.3065 0.6935 0.4485  4 In 2.77-2.91, 1 Ag 3.08
Ag 0.6935 0.3065 0.5515  4 In 2.77-2.91, 1 Ag 3.08
Ag 0.6935 0.3065 0.9485  4 In 2.77-2.91, 1 Ag 3.08

**SG**: Cmcm (63)
**ΔH_f (0 K)**: -324 meV/atom
**Density**: 8.03 Mg/m³

***

Entry 6:
Ta2OsPt after structural relaxation. Source: Alexandria via LeMat-Bulk, functional PBE.

Cell: 3.3599 3.3599 5.9369 Å, 90.00 90.00 90.00°
With the nearest neighbours (Å) after each atom.
Sites, in units of the cell vectors:
Ta 0.0000 0.0000 0.0000  4 Pt 2.68, 1 Os 2.93, 4 Ta 2.95
Ta 0.5000 0.5000 0.2958  4 Os 2.69, 2 Pt 2.94-2.99, 4 Ta 2.95
Os 0.0000 0.0000 0.5072  5 Ta 2.69-2.93, 4 Pt 2.91
Pt 0.5000 0.5000 0.7916  6 Ta 2.68-2.99, 4 Os 2.91

**SG**: P4mm (99)
**ΔH_f (0 K)**: -283 meV/atom
**Density**: 18.51 Mg/m³

***

Entry 7:
PmU3As4 after structural relaxation. Source: Alexandria via LeMat-Bulk, functional PBE.

Cell: 7.1714 7.1714 4.0762 Å, 90.00 90.00 108.84°
With the nearest neighbours (Å) after each atom.
Sites, in units of the cell vectors:
Pm 0.0000 0.0000 0.0000  6 As 2.95-2.96
U 0.0000 0.5000 0.5000  6 As 2.92
U 0.5000 0.0000 0.5000  6 As 2.92
U 0.5000 0.5000 0.0000  6 As 2.88-2.89
As 0.2526 0.7474 0.0000  5 U 2.89-2.92, 1 Pm 2.95
As 0.2565 0.2565 0.5000  4 U 2.88-2.92, 2 Pm 2.96
As 0.7435 0.7435 0.5000  4 U 2.88-2.92, 2 Pm 2.96
As 0.7474 0.2526 0.0000  5 U 2.89-2.92, 1 Pm 2.95

**SG**: Cmmm (65)
**ΔH_f (0 K)**: -920 meV/atom
**Density**: 9.70 Mg/m³

***

Entry 8:
Sr2AlZn3Ga4 after structural relaxation. Source: Alexandria via LeMat-Bulk, functional PBE.

Cell: 4.3616 4.3616 11.0193 Å, 90.00 90.00 90.00°
With the nearest neighbours (Å) after each atom.
Sites, in units of the cell vectors:
Sr 0.0000 0.5000 0.2496  8 Ga 3.33-3.51, 6 Zn 3.34-3.52, 2 Al 3.52
Sr 0.5000 0.0000 0.7504  8 Ga 3.33-3.51, 6 Zn 3.34-3.52, 2 Al 3.52
Al 0.0000 0.0000 0.5000  4 Ga 2.64
Zn 0.0000 0.5000 0.8659  5 Ga 2.54-2.63
Zn 0.5000 0.0000 0.1341  5 Ga 2.54-2.63
Zn 0.5000 0.5000 0.5000  4 Ga 2.64
Ga 0.0000 0.0000 0.0000  4 Zn 2.63
Ga 0.0000 0.5000 0.6357  3 Zn 2.54-2.64, 2 Al 2.64
Ga 0.5000 0.0000 0.3643  3 Zn 2.54-2.64, 2 Al 2.64
Ga 0.5000 0.5000 0.0000  4 Zn 2.63

**SG**: P-4m2 (115)
**ΔH_f (0 K)**: -368 meV/atom
**Density**: 5.37 Mg/m³